First-principles (PBE) data for a relaxed structure of Rb2InRuI6, as listed in the Alexandria database.

## Properties
M_tot   1.0 μB per formula unit
Formation energy (no corrections)   -653 meV per atom
Volume   42.073 Å³/atom

a = 8.4100 Å, b = 8.4100 Å, c = 8.4100 Å
α = 119.98°, β = 119.98°, γ = 90.04°
Element x y z (fractional)
Rb 0.2500 0.7500 0.5000
Rb 0.7500 0.2500 0.5000
In 0.0000 0.0000 0.0000
Ru 0.5000 0.5000 0.0000
I 0.2701 0.2701 0.0000
I 0.2703 0.2703 0.5406
I 0.2703 0.7297 0.0000
I 0.7297 0.2703 0.0000
I 0.7299 0.7299 0.0000
I 0.7297 0.7297 0.4594